Entry from Alexandria via LeMat-Bulk: a relaxed structure of Na4Ho3Te8Pb (PBE-GGA).

Computed properties:
Volume, Å³/atom: 32.436
Energy, eV/atom: -4.0796
Total magnetic moment, μB per formula unit: 0.00
DOS(E_F), states/eV/atom: 0.52
Energy relative to the elements, uncorrected, meV per atom: -1089

Cell lengths 9.162, 9.162, 9.162 Å; angles 58.01, 58.01, 58.01 degrees
Positions (direct):
Na 0.000 0.000 0.000
Na 0.000 0.500 0.500
Na 0.500 0.000 0.500
Na 0.500 0.500 0.000
Ho 0.000 0.000 0.500
Ho 0.000 0.500 0.000
Ho 0.500 0.000 0.000
Te 0.234 0.749 0.749
Te 0.244 0.244 0.244
Te 0.251 0.251 0.766
Te 0.251 0.766 0.251
Te 0.749 0.234 0.749
Te 0.749 0.749 0.234
Te 0.756 0.756 0.756
Te 0.766 0.251 0.251
Pb 0.500 0.500 0.500